#P
Mn2Cr2C, optimized geometry, DFT PBE-GGA; space-group type = I4/mmm, No. 139; total magnetization = 1.978 μB per cell
1.0
-2.425 0.637 1.513
-1.572 -0.121 -2.468
-3.062 -6.141 0.513
Cr C Mn
2 1 2
Cartesian
-3.742 -2.623 0.774 Cr
-3.316 -3.001 -1.216 Cr
0.000 0.000 0.000 C
-2.178 -0.824 -0.310 Mn
-4.880 -4.800 -0.132 Mn



#Q
Mn2Cr2C, optimized geometry, DFT PBE-GGA; space-group type = P4/mbm, No. 127; total magnetization = 0.026 μB per cell
1.0
5.045 0.000 0.000
0.000 5.045 0.000
0.000 0.000 4.127
Cr C Mn
4 2 4
Cartesian
0.837 3.360 2.064 Cr
3.360 4.208 2.064 Cr
4.208 1.686 2.064 Cr
1.686 0.837 2.064 Cr
0.000 0.000 0.000 C
2.523 2.523 0.000 C
1.719 4.241 0.000 Mn
4.241 3.327 0.000 Mn
3.327 0.804 0.000 Mn
0.804 1.719 0.000 Mn



Stability ranking, top and bottom: #Q is the most stable and #P is the least stable.



#P
MnCr3C, optimized geometry, DFT PBE-GGA; space-group type = Pm-3m, No. 221; total magnetization = 0.001 μB per cell
1.0
-2.401 -2.294 1.825
2.893 -1.470 1.957
-0.477 2.633 2.683
Cr C Mn
3 1 1
Cartesian
1.446 -0.735 0.979 Cr
-0.238 1.317 1.342 Cr
-1.201 -1.147 0.912 Cr
0.000 0.000 0.000 C
0.007 -0.566 3.233 Mn



#Q
MnCr3C, optimized geometry, DFT PBE-GGA; space-group type = Pm-3m, No. 221; total magnetization = 0.001 μB per cell
1.0
4.133 0.000 0.000
0.000 4.133 0.000
0.000 0.000 4.133
Cr C Mn
3 1 1
Cartesian
0.000 2.066 0.000 Cr
0.000 0.000 2.066 Cr
2.066 0.000 0.000 Cr
2.066 2.066 2.066 C
0.000 0.000 0.000 Mn



Stability ranking, top and bottom: #P is the most stable and #Q is the least stable.



#P
Mn3CrC, optimized geometry, DFT PBE-GGA; space-group type = Pm-3m, No. 221; total magnetization = 6.764 μB per cell
1.0
-2.032 3.809 0.344
-2.109 -1.441 3.497
3.190 1.473 2.531
Cr C Mn
1 1 3
Cartesian
0.000 0.000 0.000 Cr
-0.475 1.921 3.186 C
-1.054 -0.720 1.749 Mn
1.595 0.737 1.265 Mn
-1.016 1.904 0.172 Mn



#Q
Mn3CrC, optimized geometry, DFT PBE-GGA; space-group type = Pm-3m, No. 221; total magnetization = 0.000 μB per cell
1.0
-0.843 -0.607 -3.579
-3.302 -1.397 1.015
-1.507 3.401 -0.222
Cr C Mn
1 1 3
Cartesian
-2.826 0.698 -1.393 Cr
0.000 0.000 0.000 C
-1.651 -0.699 0.507 Mn
-0.754 1.701 -0.111 Mn
-0.422 -0.303 -1.789 Mn



Stability ranking, top and bottom: #Q is the most stable and #P is the least stable.